The following is a DFT calculation (GGA-PBE) of a relaxed MgHg2Pb2 crystal.

The volume is 29.48 Å³/atom. The calculation puts the formation energy at 0.11 eV per atom.

CIF file:
```
data_MgHg2Pb2
_symmetry_space_group_name_H-M 'P 1'
_symmetry_Int_Tables_number 1
_cell_length_a 9.398
_cell_length_b 9.398
_cell_length_c 9.398
_cell_angle_alpha 155.06
_cell_angle_beta 155.06
_cell_angle_gamma 35.56
loop_
_symmetry_equiv_pos_as_xyz
'x,y,z'
loop_
_atom_site_label
_atom_site_type_symbol
_atom_site_fract_x
_atom_site_fract_y
_atom_site_fract_z
_atom_site_occupancy
Mg1 Mg 0.000 0.000 0.000 1
Hg1 Hg 0.250 0.750 0.500 1
Hg2 Hg 0.750 0.250 0.500 1
Pb1 Pb 0.403 0.403 0.000 1
Pb2 Pb 0.597 0.597 0.000 1
```